No. 1
{
  "formula": "BeOsF2",
  "functional": "PBE",
  "state": "relaxed",
  "lattice": [[0.000, 2.862, 2.862], [2.862, 0.000, 2.862], [2.862, 2.862, 0.000]],
  "species": ["Be", "Os", "F", "F"],
  "fractional_positions": [[0.000, 0.000, 0.000], [0.500, 0.500, 0.500], [0.250, 0.250, 0.250], [0.750, 0.750, 0.750]],
  "e_above_lowest_polymorph_mev_per_atom": 1978.4,
  "final_energy_ev_per_atom": -4.276,
  "spacegroup": "Fm-3m (225)",
  "vol_a3_per_atom": 11.721,
  "e_form_raw_ev_per_atom": 0.3988,
  "dos_at_fermi_per_ev_atom": 0.288
}

No. 2
{
  "formula": "PuTl2InBr8",
  "functional": "PBE",
  "state": "relaxed",
  "lattice": [[7.025, 0.000, 0.000], [-0.304, 7.519, 0.000], [-0.004, -0.008, 8.702]],
  "species": ["Pu", "Tl", "Tl", "In", "Br", "Br", "Br", "Br", "Br", "Br", "Br", "Br"],
  "fractional_positions": [[0.000, 0.000, 0.000], [0.500, 0.500, 0.258], [0.500, 0.500, 0.742], [0.000, 0.000, 0.500], [0.191, 0.304, 0.500], [0.222, 0.324, 0.000], [0.229, 0.876, 0.258], [0.229, 0.876, 0.742], [0.771, 0.124, 0.258], [0.771, 0.124, 0.742], [0.778, 0.676, 0.000], [0.809, 0.696, 0.500]],
  "final_energy_ev_per_atom": -3.965,
  "spacegroup": "P-1 (2)",
  "vol_a3_per_atom": 38.302,
  "e_form_raw_ev_per_atom": -1.0327,
  "dos_at_fermi_per_ev_atom": 0.878
}

No. 3
{
  "formula": "LiPuSbO5",
  "functional": "PBE",
  "state": "relaxed",
  "lattice": [[3.599, -4.996, 0.000], [3.599, 4.996, 0.000], [-2.787, 0.000, 6.825]],
  "species": ["Li", "Li", "Pu", "Pu", "Sb", "Sb", "O", "O", "O", "O", "O", "O", "O", "O", "O", "O"],
  "fractional_positions": [[0.050, 0.950, 0.750], [0.950, 0.050, 0.250], [0.000, 0.500, 0.000], [0.500, 0.000, 0.500], [0.465, 0.535, 0.750], [0.535, 0.465, 0.250], [0.128, 0.749, 0.908], [0.242, 0.320, 0.909], [0.251, 0.872, 0.592], [0.320, 0.242, 0.409], [0.335, 0.665, 0.250], [0.665, 0.335, 0.750], [0.680, 0.758, 0.591], [0.749, 0.128, 0.408], [0.758, 0.680, 0.091], [0.872, 0.251, 0.092]],
  "final_energy_ev_per_atom": -7.631,
  "spacegroup": "C2/c (15)",
  "vol_a3_per_atom": 15.339,
  "e_form_raw_ev_per_atom": -1.9863,
  "dos_at_fermi_per_ev_atom": 0.524
}

No. 4
{
  "formula": "TaZn2Rh",
  "functional": "PBE",
  "state": "relaxed",
  "lattice": [[3.014, 0.000, 0.000], [0.000, 3.014, 0.000], [0.000, 0.000, 6.717]],
  "species": ["Ta", "Zn", "Zn", "Rh"],
  "fractional_positions": [[0.000, 0.000, 0.000], [0.000, 0.000, 0.516], [0.500, 0.500, 0.279], [0.500, 0.500, 0.757]],
  "final_energy_ev_per_atom": -5.694,
  "spacegroup": "P4mm (99)",
  "vol_a3_per_atom": 15.251,
  "dos_at_fermi_per_ev_atom": 0.380
}

No. 5
{
  "formula": "LiBe2Re",
  "functional": "PBE",
  "state": "relaxed",
  "lattice": [[-2.986, 2.986, 2.413], [2.986, -2.986, 2.413], [2.986, 2.986, -2.413]],
  "species": ["Li", "Li", "Be", "Be", "Be", "Be", "Re", "Re"],
  "fractional_positions": [[0.000, 0.000, 0.000], [0.750, 0.250, 0.500], [0.099, 0.625, 0.974], [0.375, 0.349, 0.474], [0.651, 0.125, 0.026], [0.875, 0.901, 0.526], [0.250, 0.750, 0.500], [0.500, 0.500, 0.000]],
  "e_above_lowest_polymorph_mev_per_atom": 497.2,
  "final_energy_ev_per_atom": -4.977,
  "spacegroup": "I-42d (122)",
  "vol_a3_per_atom": 10.757,
  "dos_at_fermi_per_ev_atom": 0.078
}

No. 6
{
  "formula": "BaPS4",
  "functional": "PBE",
  "state": "relaxed",
  "lattice": [[10.356, 0.000, 0.000], [0.000, 5.476, 3.046], [0.000, -5.476, 3.046]],
  "species": ["Ba", "Ba", "P", "P", "S", "S", "S", "S", "S", "S", "S", "S"],
  "fractional_positions": [[0.000, 0.000, 0.000], [0.500, 0.000, 0.000], [0.250, 0.566, 0.294], [0.750, 0.294, 0.566], [0.090, 0.542, 0.091], [0.250, 0.276, 0.353], [0.250, 0.902, 0.626], [0.410, 0.542, 0.091], [0.590, 0.091, 0.542], [0.750, 0.353, 0.276], [0.750, 0.626, 0.902], [0.910, 0.091, 0.542]],
  "final_energy_ev_per_atom": -4.768,
  "spacegroup": "Ama2 (40)",
  "vol_a3_per_atom": 28.787,
  "e_form_raw_ev_per_atom": -0.7945,
  "dos_at_fermi_per_ev_atom": 0.679
}